(1)
DFT (GGA-PBE) results for SrRuCl2 after structural relaxation.

Cell and atoms, written as POSCAR:
```
SrRuCl2
1.0
-3.515 -3.216 1.328
-4.750 1.380 -0.020
-3.092 -1.828 -3.400
Ru Cl Sr
1 2 1
direct
0.500 0.500 0.500
0.250 0.250 0.250
0.750 0.750 0.750
0.000 0.000 0.000
```

## Properties
Fermi-level density of states, states/eV per cell: 4.4
Distance to the lowest polymorph of the same formula, meV per atom: 262
Total magnetization, μB per atom: 0.520
Formation energy (no corrections), eV per atom: -0.478
Symmetry: Fm-3m, No. 225

=====

(2)
DFT (GGA-PBE) results for Pa2AlRhN5 after structural relaxation.

Cell and atoms, written as POSCAR:
```
Pa2AlRhN5
1.0
-0.205 -3.149 0.876
6.496 1.021 -0.935
0.990 2.655 9.780
Pa Al Rh N
4 2 2 10
direct
0.844 0.688 0.803
0.094 0.188 0.671
0.156 0.312 0.303
0.906 0.812 0.171
0.790 0.579 0.512
0.210 0.421 0.012
0.528 0.056 0.953
0.472 0.944 0.453
0.363 0.726 0.996
0.684 0.367 0.889
0.483 0.966 0.764
0.270 0.541 0.667
0.933 0.865 0.570
0.637 0.274 0.496
0.316 0.633 0.389
0.517 0.034 0.264
0.730 0.459 0.167
0.067 0.135 0.070
```

## Properties
Fermi-level density of states, states/eV per cell: 5.2
Total magnetization, μB per atom: 0.000
Formation energy (no corrections), eV per atom: -0.987
Symmetry: Cmc2_1, No. 36

=====

(3)
DFT (GGA-PBE) results for CaPt2Br after structural relaxation.

Cell and atoms, written as POSCAR:
```
CaPt2Br
1.0
-0.441 1.838 3.983
-3.731 0.310 2.329
0.427 -5.847 4.552
Ca Br Pt
1 1 2
direct
0.270 0.270 0.217
0.536 0.536 0.439
0.001 0.001 0.925
0.693 0.693 0.919
```

## Properties
Fermi-level density of states, states/eV per cell: 3.7
Distance to the lowest polymorph of the same formula, meV per atom: 93
Total magnetization, μB per atom: 0.096
Formation energy (no corrections), eV per atom: -0.631
Symmetry: Cm, No. 8

=====

(4)
DFT (GGA-PBE) results for Ag2OsRuPt after structural relaxation.

Cell and atoms, written as POSCAR:
```
Ag2OsRuPt
1.0
4.991 0.000 0.000
0.000 4.511 0.000
0.000 0.000 4.991
Ru Os Ag Pt
1 1 2 1
direct
0.000 0.500 0.000
0.000 0.000 0.000
0.000 0.000 0.500
0.500 0.000 0.000
0.500 0.500 0.500
```

## Properties
Fermi-level density of states, states/eV per cell: 6.7
Total magnetization, μB per atom: 0.236
Symmetry: P4/mmm, No. 123
Uncorrected energy, eV/cell: -23.30

=====

(5)
DFT (GGA-PBE) results for TiV14Re after structural relaxation.

Cell and atoms, written as POSCAR:
```
TiV14Re
1.0
-2.508 4.238 1.742
-3.058 -2.506 -3.414
-3.342 -4.594 6.365
Ti V Re
1 14 1
direct
0.125 0.875 0.500
0.125 0.875 0.000
0.625 0.375 0.000
0.125 0.375 0.500
0.125 0.375 0.000
0.625 0.875 0.500
0.625 0.875 0.000
0.380 0.130 0.756
0.380 0.130 0.244
0.870 0.620 0.756
0.870 0.620 0.244
0.371 0.629 0.754
0.371 0.629 0.246
0.879 0.121 0.754
0.879 0.121 0.246
0.625 0.375 0.500
```

## Properties
Fermi-level density of states, states/eV per cell: 27.6
Total magnetization, μB per atom: 0.000
Symmetry: Cmmm, No. 65
Uncorrected energy, eV/cell: -148.83

=====

(6)
DFT (GGA-PBE) results for SrPb after structural relaxation.

Cell and atoms, written as POSCAR:
```
SrPb
1.0
-5.522 3.966 -0.795
-2.403 -4.298 -4.754
-3.221 -3.521 4.811
Sr Pb
4 4
direct
0.691 0.309 0.000
0.191 0.191 0.500
0.809 0.809 0.500
0.309 0.691 0.000
0.840 0.840 0.000
0.340 0.660 0.500
0.660 0.340 0.500
0.160 0.160 0.000
```

## Properties
Fermi-level density of states, states/eV per cell: 8.7
Total magnetization, μB per atom: 0.000
Symmetry: P4_2/mnm, No. 136
Uncorrected energy, eV/cell: -23.67

=====

(7)
DFT (GGA-PBE) results for KBeNi2 after structural relaxation.

Cell and atoms, written as POSCAR:
```
KBeNi2
1.0
2.722 0.000 0.000
0.000 4.652 0.000
0.000 0.000 4.652
Ni K Be
2 1 1
direct
0.000 0.000 0.000
0.000 0.500 0.500
0.500 0.000 0.500
0.500 0.500 0.000
```

## Properties
Fermi-level density of states, states/eV per cell: 2.8
Total magnetization, μB per atom: 0.000
Symmetry: P4/mmm, No. 123
Uncorrected energy, eV/cell: -12.35

=====

(8)
DFT (GGA-PBE) results for TbTeOs after structural relaxation.

Cell and atoms, written as POSCAR:
```
TbTeOs
1.0
-2.528 -2.632 -0.621
1.225 0.568 3.637
-8.582 7.851 1.665
Os Te Tb
2 2 2
direct
0.594 0.187 0.000
0.288 0.577 0.500
0.614 0.228 0.365
0.614 0.228 0.635
0.278 0.556 0.852
0.278 0.556 0.148
```

## Properties
Fermi-level density of states, states/eV per cell: 6.6
Total magnetization, μB per atom: 0.000
Formation energy (no corrections), eV per atom: 0.092
Symmetry: Amm2, No. 38

=====

(9)
DFT (GGA-PBE) results for TbHoTc after structural relaxation.

Cell and atoms, written as POSCAR:
```
TbHoTc
1.0
-0.119 -3.105 1.541
3.457 0.010 0.288
-2.138 4.315 4.624
Tb Ho Tc
1 1 1
direct
0.036 0.036 0.071
0.297 0.297 0.593
0.668 0.668 0.335
```

## Properties
Fermi-level density of states, states/eV per cell: 3.9
Distance to the lowest polymorph of the same formula, meV per atom: 0
Total magnetization, μB per atom: 0.000
Symmetry: I4mm, No. 107

=====

(10)
DFT (GGA-PBE) results for NbC3Cl after structural relaxation.

Cell and atoms, written as POSCAR:
```
NbC3Cl
1.0
-0.950 -4.022 1.133
-1.074 -0.888 -4.052
4.038 -1.182 -0.811
Nb C Cl
1 3 1
direct
0.000 0.000 0.000
0.000 0.500 0.000
0.000 0.000 0.500
0.500 0.000 0.000
0.500 0.500 0.500
```

## Properties
Fermi-level density of states, states/eV per cell: 7.3
Distance to the lowest polymorph of the same formula, meV per atom: 0
Total magnetization, μB per atom: 0.000
Formation energy (no corrections), eV per atom: 2.284
Symmetry: Pm-3m, No. 221

=====

(11)
DFT (GGA-PBE) results for Sc3TlGe after structural relaxation.

Cell and atoms, written as POSCAR:
```
Sc3TlGe
1.0
5.296 0.000 0.000
0.000 5.296 0.000
0.000 0.000 5.296
Sc Tl Ge
3 1 1
direct
0.000 0.500 0.000
0.000 0.000 0.500
0.500 0.000 0.000
0.000 0.000 0.000
0.500 0.500 0.500
```

## Properties
Fermi-level density of states, states/eV per cell: 1.7
Distance to the lowest polymorph of the same formula, meV per atom: 687
Total magnetization, μB per atom: 0.000
Symmetry: Pm-3m, No. 221

=====

(12)
DFT (GGA-PBE) results for In2Hg2Pb3 after structural relaxation.

Cell and atoms, written as POSCAR:
```
In2Hg2Pb3
1.0
3.574 0.000 0.000
0.000 8.040 0.713
-1.787 -3.006 6.700
In Hg Pb
2 2 3
direct
0.569 0.701 0.138
0.431 0.299 0.862
0.859 0.566 0.719
0.141 0.434 0.281
0.000 0.000 0.000
0.715 0.154 0.431
0.285 0.846 0.569
```

## Properties
Fermi-level density of states, states/eV per cell: 2.6
Distance to the lowest polymorph of the same formula, meV per atom: 0
Total magnetization, μB per atom: 0.000
Symmetry: C2/m, No. 12

=====

(13)
DFT (GGA-PBE) results for Sc2BeAlCu after structural relaxation.

Cell and atoms, written as POSCAR:
```
Sc2BeAlCu
1.0
4.893 0.000 0.000
0.000 4.095 0.000
0.000 0.000 4.893
Sc Be Al Cu
2 1 1 1
direct
0.000 0.000 0.500
0.500 0.000 0.000
0.000 0.500 0.000
0.500 0.500 0.500
0.000 0.000 0.000
```

## Properties
Fermi-level density of states, states/eV per cell: 4.6
Total magnetization, μB per atom: 0.000
Symmetry: P4/mmm, No. 123
Uncorrected energy, eV/cell: -23.17

=====

(14)
DFT (GGA-PBE) results for BaSr3Ir after structural relaxation.

Cell and atoms, written as POSCAR:
```
BaSr3Ir
1.0
8.257 0.010 0.018
2.496 7.849 0.017
2.497 -4.226 6.614
Sr Ir Ba
6 2 2
direct
0.379 0.748 0.291
0.986 0.575 0.112
0.878 0.299 0.740
0.480 0.691 0.737
0.980 0.745 0.684
0.486 0.120 0.568
0.182 0.054 0.795
0.682 0.803 0.047
0.385 0.183 0.122
0.885 0.130 0.175
```

## Properties
Fermi-level density of states, states/eV per cell: 7.6
Distance to the lowest polymorph of the same formula, meV per atom: 7
Total magnetization, μB per atom: 0.000
Symmetry: Cc, No. 9

=====

(15)
DFT (GGA-PBE) results for Nd2DyS3 after structural relaxation.

Cell and atoms, written as POSCAR:
```
Nd2DyS3
1.0
4.011 0.000 0.000
-2.005 3.473 0.000
0.000 0.000 9.859
Nd Dy S
2 1 3
direct
0.667 0.333 0.331
0.333 0.667 0.669
0.000 0.000 0.000
0.667 0.333 0.845
0.333 0.667 0.155
0.000 0.000 0.500
```

## Properties
Fermi-level density of states, states/eV per cell: 2.8
Distance to the lowest polymorph of the same formula, meV per atom: 0
Total magnetization, μB per atom: 0.000
Formation energy (no corrections), eV per atom: -2.014
Symmetry: P-3m1, No. 164

=====

(16)
DFT (GGA-PBE) results for TaAlZn2 after structural relaxation.

Cell and atoms, written as POSCAR:
```
TaAlZn2
1.0
-6.548 5.659 -3.092
-7.598 5.152 -0.440
-5.616 7.226 -0.841
Zn Al Ta
2 1 1
direct
0.003 0.003 0.003
0.750 0.750 0.750
0.498 0.498 0.498
0.250 0.250 0.250
```

## Properties
Fermi-level density of states, states/eV per cell: 4.9
Total magnetization, μB per atom: 0.000
Symmetry: R3m, No. 160
Uncorrected energy, eV/cell: -17.97

=====

(17)
DFT (GGA-PBE) results for LiLaCdSi2 after structural relaxation.

Cell and atoms, written as POSCAR:
```
LiLaCdSi2
1.0
5.053 0.000 0.000
0.000 4.666 0.000
0.000 0.000 5.053
Si Cd Li La
2 1 1 1
direct
0.000 0.000 0.500
0.500 0.000 0.000
0.000 0.000 0.000
0.000 0.500 0.000
0.500 0.500 0.500
```

## Properties
Fermi-level density of states, states/eV per cell: 2.3
Total magnetization, μB per atom: 0.000
Formation energy (no corrections), eV per atom: 0.181
Symmetry: P4/mmm, No. 123

=====

(18)
DFT (GGA-PBE) results for NaErPuCl6 after structural relaxation.

Cell and atoms, written as POSCAR:
```
NaErPuCl6
1.0
6.949 0.000 0.000
-3.474 6.018 0.000
0.000 0.000 12.451
Na Er Pu Cl
2 2 2 12
direct
0.333 0.667 0.250
0.667 0.333 0.750
0.667 0.333 0.250
0.333 0.667 0.750
0.000 0.000 0.000
0.000 0.000 0.500
0.667 0.646 0.130
0.979 0.333 0.130
0.333 0.979 0.630
0.021 0.667 0.870
0.354 0.333 0.370
0.979 0.646 0.370
0.646 0.979 0.870
0.667 0.021 0.370
0.021 0.354 0.630
0.354 0.021 0.130
0.646 0.667 0.630
0.333 0.354 0.870
```

## Properties
Fermi-level density of states, states/eV per cell: 39.6
Total magnetization, μB per atom: 0.667
Formation energy (no corrections), eV per atom: -1.977
Symmetry: P-31c, No. 163

=====

(19)
DFT (GGA-PBE) results for InMoRu2 after structural relaxation.

Cell and atoms, written as POSCAR:
```
InMoRu2
1.0
7.149 0.000 0.000
0.000 7.149 0.000
3.574 3.574 2.837
Ru Mo In
4 2 2
direct
0.578 0.125 0.250
0.172 0.625 0.250
0.375 0.422 0.750
0.875 0.828 0.750
0.500 0.500 0.000
0.250 0.750 0.500
0.000 0.000 0.000
0.750 0.250 0.500
```

## Properties
Fermi-level density of states, states/eV per cell: 6.5
Total magnetization, μB per atom: 0.000
Symmetry: I-42d, No. 122
Uncorrected energy, eV/cell: -59.53

=====

(20)
DFT (GGA-PBE) results for MgCu2Ru after structural relaxation.

Cell and atoms, written as POSCAR:
```
MgCu2Ru
1.0
3.620 0.000 0.000
0.000 3.620 0.000
1.810 1.810 9.112
Ru Mg Cu
2 2 4
direct
0.000 0.000 0.000
0.750 0.250 0.500
0.500 0.500 0.000
0.250 0.750 0.500
0.633 0.125 0.250
0.117 0.625 0.250
0.375 0.367 0.750
0.875 0.883 0.750
```

## Properties
Fermi-level density of states, states/eV per cell: 6.5
Total magnetization, μB per atom: 0.000
Symmetry: I-42d, No. 122
Uncorrected energy, eV/cell: -34.46